No. 1
FeAsPb2 after structural relaxation. Source: Alexandria, functional PBE.

Unit cell a=7.114 b=8.244 c=3.190 alpha=90.00 beta=90.97 gamma=90.00
Space group C2/m (No. 12)
One atom of each set of equivalent atoms:
Fe: 0.000 0.000 0.000 [2 per cell]
As: 0.000 0.500 0.000 [2 per cell]
Pb: 0.250 0.250 0.500 [4 per cell]

## Properties
D(E_F) = 0.875 states/eV/atom
formation energy = 0.52 eV/atom



No. 2
NbZn2CoC after structural relaxation. Source: Alexandria, functional PBE.

Unit cell a=4.587 b=4.587 c=3.478 alpha=90.00 beta=90.00 gamma=90.00
Space group P4/mmm (No. 123)
One atom of each set of equivalent atoms:
Nb: 0.000 0.000 0.000 [1 per cell]
Zn: 0.000 0.500 0.500 [2 per cell]
Co: 0.500 0.500 0.500 [1 per cell]
C: 0.500 0.500 0.000 [1 per cell]

## Properties
D(E_F) = 0.787 states/eV/atom
formation energy = 0.83 eV/atom



No. 3
KTeIr2 after structural relaxation. Source: Alexandria, functional PBE.

Unit cell a=3.185 b=3.185 c=8.840 alpha=90.00 beta=90.00 gamma=90.00
Space group P4mm (No. 99)
One atom of each set of equivalent atoms:
K: 0.000 0.000 0.000 [1 per cell]
Te: 0.500 0.500 0.327 [1 per cell]
Ir: 0.000 0.000 0.560 [1 per cell]
Ir: 0.500 0.500 0.708 [1 per cell]

## Properties
energy relative to the elements, uncorrected = 1.8 eV/f.u.
D(E_F) = 0.767 states/eV/atom



No. 4
LaPm3Ni after structural relaxation. Source: Alexandria, functional PBE.

Unit cell a=5.491 b=5.491 c=5.491 alpha=90.00 beta=90.00 gamma=90.00
Space group Pm-3m (No. 221)
One atom of each set of equivalent atoms:
La: 0.000 0.000 0.000 [1 per cell]
Pm: 0.000 0.500 0.500 [3 per cell]
Ni: 0.500 0.500 0.500 [1 per cell]

## Properties
offset from the most stable computed form = 118 meV/atom
D(E_F) = 2.519 states/eV/atom
formation energy = -0.01 eV/atom



No. 5
Rb2TaPdSe4 after structural relaxation. Source: Alexandria, functional PBE.

Unit cell a=5.956 b=14.504 c=23.803 alpha=90.00 beta=90.00 gamma=90.00
Space group Fddd (No. 70, origin choice 2)
One atom of each set of equivalent atoms:
Rb: 0.125 0.125 0.303 [16 per cell]
Ta: 0.125 0.125 0.625 [8 per cell]
Pd: 0.125 0.125 0.125 [8 per cell]
Se: 0.110 0.273 0.818 [32 per cell]

## Properties
energy relative to the elements, uncorrected = -7.3 eV/f.u.
D(E_F) = 0.770 states/eV/atom



No. 6
LiSm3O after structural relaxation. Source: Alexandria, functional PBE.

Unit cell a=4.929 b=4.929 c=4.929 alpha=90.00 beta=90.00 gamma=90.00
Space group Pm-3m (No. 221)
One atom of each set of equivalent atoms:
Li: 0.000 0.000 0.000 [1 per cell]
Sm: 0.000 0.500 0.500 [3 per cell]
O: 0.500 0.500 0.500 [1 per cell]

## Properties
energy relative to the elements, uncorrected = -5.2 eV/f.u.
D(E_F) = 1.105 states/eV/atom



No. 7
Ac2Pr5Ho12 after structural relaxation. Source: Alexandria, functional PBE.

Unit cell a=6.915 b=6.944 c=15.161 alpha=80.04 beta=87.54 gamma=64.50
Space group P-1 (No. 2)
One atom of each set of equivalent atoms:
Ac: 0.013 0.233 0.038 [2 per cell]
Pr: 0.446 0.923 0.615 [2 per cell]
Pr: 0.495 0.733 0.036 [2 per cell]
Pr: 0.500 0.500 0.500 [1 per cell]
Ho: 0.015 0.619 0.387 [2 per cell]
Ho: 0.067 0.115 0.421 [2 per cell]
Ho: 0.239 0.070 0.821 [2 per cell]
Ho: 0.247 0.582 0.752 [2 per cell]
Ho: 0.259 0.420 0.193 [2 per cell]
Ho: 0.280 0.877 0.249 [2 per cell]

## Properties
D(E_F) = 1.567 states/eV/atom
formation energy = 0.11 eV/atom



No. 8
PmZn2SnIr after structural relaxation. Source: Alexandria, functional PBE.

Unit cell a=3.910 b=4.455 c=11.648 alpha=90.00 beta=90.00 gamma=90.00
Space group Imm2 (No. 44)
One atom of each set of equivalent atoms:
Pm: 0.000 0.000 0.000 [2 per cell]
Zn: 0.000 0.000 0.600 [2 per cell]
Zn: 0.000 0.500 0.235 [2 per cell]
Sn: 0.000 0.000 0.369 [2 per cell]
Ir: 0.000 0.500 0.708 [2 per cell]

## Properties
D(E_F) = 0.541 states/eV/atom
formation energy = -0.36 eV/atom